Compound: TmLu2As3
Source: OQMD via LeMat-Bulk
Functional: PBE-GGA
Structure: optimized geometry

extended XYZ file:
```
6
Lattice="4.040 0.000 0.000 -2.020 3.498 0.000 0.000 0.000 9.882" Properties=species:S:1:pos:R:3 pbc="T T T"
Tm 0.000 0.000 0.000
Lu 0.000 2.332 3.297
Lu 2.020 1.166 6.585
As 0.000 0.000 4.941
As 0.000 2.332 8.220
As 2.020 1.166 1.662
```

Summary:
**VASP energy**: -36.37 eV per cell